## w
AlC4 | PBE-GGA | optimized geometry

a b c (Å): 3.8928 3.8928 3.8928
angles (deg): 90.00 90.00 90.00
Element x y z (fractional)
C 0.5000 0.0000 0.5000
C 0.0000 0.0000 0.0000
C 0.0000 0.5000 0.5000
C 0.5000 0.5000 0.0000
Al 0.5000 0.5000 0.5000

Output
Space group: No. 221
Crystal system: cubic



## x
AlC4 | PBE-GGA | optimized geometry

a b c (Å): 4.5236 4.5236 4.5236
angles (deg): 108.40 108.40 111.63
Element x y z (fractional)
C 0.3802 0.0000 0.3802
C 0.0000 0.3802 0.3802
C 0.0000 0.6198 0.6198
C 0.6198 0.0000 0.6198
Al 0.0000 0.0000 0.0000

Output
Space group: No. 139
Crystal system: tetragonal



## y
AlC4 | PBE-GGA | optimized geometry

a b c (Å): 2.6941 2.6941 6.1300
angles (deg): 90.00 90.00 120.00
Element x y z (fractional)
C 0.3333 0.6667 0.2160
C 0.3333 0.6667 0.4516
C 0.6667 0.3333 0.5484
C 0.6667 0.3333 0.7840
Al 0.0000 0.0000 0.0000

Output
Space group: No. 164
Crystal system: trigonal



Which structure is the most stable? The one labeled y.



## w
Al3C2 | PBE-GGA | optimized geometry

a b c (Å): 3.1415 3.1415 6.8075
angles (deg): 90.00 90.00 120.00
Element x y z (fractional)
Al 0.0000 0.0000 0.0000
Al 0.6667 0.3333 0.6895
Al 0.3333 0.6667 0.3105
C 0.3333 0.6667 0.8170
C 0.6667 0.3333 0.1830

Output
Space group: No. 164
Crystal system: trigonal



## x
Al3C2 | PBE-GGA | optimized geometry

a b c (Å): 5.8045 5.3433 5.3431
angles (deg): 65.80 57.10 57.10
Element x y z (fractional)
C 0.5621 0.9751 0.4750
C 0.2749 0.6879 0.2621
C 0.9879 0.4750 0.9751
C 0.7750 0.2621 0.6879
Al 0.3446 0.4748 0.9751
Al 0.2055 0.9751 0.4748
Al 0.2749 0.0445 0.9054
Al 0.8999 0.6001 0.6001
Al 0.6499 0.3501 0.3501
Al 0.7752 0.9054 0.0445

Output
Space group: No. 122
Crystal system: tetragonal



## y
Al3C2 | PBE-GGA | optimized geometry

a b c (Å): 6.9991 6.9991 6.9991
angles (deg): 25.88 25.88 25.88
Element x y z (fractional)
C 0.3951 0.3951 0.3951
C 0.6049 0.6049 0.6049
Al 0.2285 0.2285 0.2285
Al 0.0000 0.0000 0.0000
Al 0.7715 0.7715 0.7715

Output
Space group: No. 166
Crystal system: trigonal



Which structure is the most stable? The one labeled y.



## w
CaAlC3 | PBE-GGA | optimized geometry

a b c (Å): 3.9927 3.9927 3.9927
angles (deg): 90.00 90.00 90.00
Element x y z (fractional)
C 0.0000 0.5000 0.0000
C 0.5000 0.0000 0.0000
C 0.0000 0.0000 0.5000
Al 0.0000 0.0000 0.0000
Ca 0.5000 0.5000 0.5000

Output
Space group: No. 221
Crystal system: cubic



## x
CaAlC3 | PBE-GGA | optimized geometry

a b c (Å): 4.4235 4.4235 4.4235
angles (deg): 90.00 90.00 90.00
Element x y z (fractional)
Ca 0.0000 0.0000 0.0000
C 0.5000 0.0000 0.0000
C 0.0000 0.5000 0.0000
C 0.0000 0.0000 0.5000
Al 0.5000 0.5000 0.5000

Output
Space group: No. 221
Crystal system: cubic



Which structure is the most stable? The one labeled w.



## w
AlCd3C | PBE-GGA | optimized geometry

a b c (Å): 4.6724 4.6724 4.6724
angles (deg): 90.00 90.00 90.00
Element x y z (fractional)
Cd 0.0000 0.0000 0.5000
Cd 0.0000 0.5000 0.0000
Cd 0.5000 0.0000 0.0000
Al 0.5000 0.5000 0.5000
C 0.0000 0.0000 0.0000

Output
Space group: No. 221
Crystal system: cubic



## x
AlCd3C | PBE-GGA | optimized geometry

a b c (Å): 5.2441 5.2441 5.2441
angles (deg): 90.00 90.00 90.00
Element x y z (fractional)
Al 0.0000 0.0000 0.0000
C 0.5000 0.5000 0.5000
Cd 0.0000 0.5000 0.0000
Cd 0.5000 0.0000 0.0000
Cd 0.0000 0.0000 0.5000

Output
Space group: No. 221
Crystal system: cubic



Which structure is the most stable? The one labeled w.



## w
Al3CdC | PBE-GGA | optimized geometry

a b c (Å): 4.2047 4.2047 4.2047
angles (deg): 90.00 90.00 90.00
Element x y z (fractional)
Al 0.0000 0.0000 0.5000
Al 0.5000 0.0000 0.0000
Al 0.0000 0.5000 0.0000
Cd 0.5000 0.5000 0.5000
C 0.0000 0.0000 0.0000

Output
Space group: No. 221
Crystal system: cubic



## x
Al3CdC | PBE-GGA | optimized geometry

a b c (Å): 5.0135 5.0135 5.0135
angles (deg): 90.00 90.00 90.00
Element x y z (fractional)
C 0.5000 0.5000 0.5000
Al 0.0000 0.5000 0.0000
Al 0.5000 0.0000 0.0000
Al 0.0000 0.0000 0.5000
Cd 0.0000 0.0000 0.0000

Output
Space group: No. 221
Crystal system: cubic



Which structure is the most stable? The one labeled w.



## w
AlCdC3 | PBE-GGA | optimized geometry

a b c (Å): 3.9962 3.9962 3.9962
angles (deg): 90.00 90.00 90.00
Element x y z (fractional)
C 0.0000 0.5000 0.0000
C 0.5000 0.0000 0.0000
C 0.0000 0.0000 0.5000
Cd 0.5000 0.5000 0.5000
Al 0.0000 0.0000 0.0000

Output
Space group: No. 221
Crystal system: cubic



## x
AlCdC3 | PBE-GGA | optimized geometry

a b c (Å): 4.2762 4.2762 4.2762
angles (deg): 90.00 90.00 90.00
Element x y z (fractional)
C 0.0000 0.0000 0.5000
C 0.5000 0.0000 0.0000
C 0.0000 0.5000 0.0000
Cd 0.0000 0.0000 0.0000
Al 0.5000 0.5000 0.5000

Output
Space group: No. 221
Crystal system: cubic



Which structure is the most stable? The one labeled w.